## Mo2C (PBE-GGA)

Data for a geometry-optimized Mo2C structure.

## Properties
Volume, A^3/atom: 12.88
DOS at the Fermi energy, states/eV/f.u.: 1.702
Calculated density, g cm⁻³: 8.8
DFT formation energy, meV per atom: 611
VASP energy, Ry/atom: -0.712

Cell: 4.901 10.392 3.035 Å, 90.00 90.00 90.00°
Space group Cmmm (No. 65)
Symmetry-distinct sites (fractional):
Mo  0.000  0.000  0.000 (multiplicity 2)
Mo  0.000  0.206  0.500 (multiplicity 4)
Mo  0.000  0.500  0.500 (multiplicity 2)
C  0.000  0.350  0.000 (multiplicity 4)

## PmPr2DyEr5 (PBE-GGA)

Data for a geometry-optimized PmPr2DyEr5 structure.

## Properties
Volume, A^3/atom: 32.56
DOS at the Fermi energy, states/eV/f.u.: 10.164
Calculated density, g cm⁻³: 8.1
DFT formation energy, meV per atom: 264
VASP energy, Ry/atom: -0.321

Cell: 8.681 8.681 15.555 Å, 90.00 90.00 90.00°
Space group I4/mcm (No. 140)
Symmetry-distinct sites (fractional):
Pm  0.000  0.000  0.250 (multiplicity 4)
Pr  0.118  0.382  0.000 (multiplicity 8)
Dy  0.000  0.500  0.250 (multiplicity 4)
Er  0.000  0.000  0.000 (multiplicity 4)
Er  0.212  0.288  0.361 (multiplicity 16)

## LiZn2P (PBE-GGA)

Data for a geometry-optimized LiZn2P structure.

## Properties
Volume, A^3/atom: 14.92
DOS at the Fermi energy, states/eV/f.u.: 1.730
Calculated density, g cm⁻³: 4.7
DFT formation energy, meV per atom: -118
VASP energy, Ry/atom: -0.190

Cell: 2.782 4.794 4.487 Å, 90.00 94.40 90.00°
Space group P2/m (No. 10)
Symmetry-distinct sites (fractional):
Li  0.000  0.000  0.000 (multiplicity 1)
Zn  0.287  0.500  0.245 (multiplicity 2)
P  0.500  0.000  0.500 (multiplicity 1)

## CaEuGe2 (PBE-GGA)

Data for a geometry-optimized CaEuGe2 structure.

## Properties
Volume, A^3/atom: 24.32
DOS at the Fermi energy, states/eV/f.u.: 1.468
Calculated density, g cm⁻³: 5.8
DFT formation energy, meV per atom: -523
VASP energy, Ry/atom: -0.434

Cell: 4.764 4.764 4.286 Å, 90.00 90.00 90.00°
Space group P4/mmm (No. 123)
Symmetry-distinct sites (fractional):
Ca  0.000  0.000  0.000 (multiplicity 1)
Eu  0.500  0.500  0.000 (multiplicity 1)
Ge  0.000  0.500  0.500 (multiplicity 2)

## KPa2Pd2Se6 (PBE-GGA)

Data for a geometry-optimized KPa2Pd2Se6 structure.

## Properties
Volume, A^3/atom: 27.57
DOS at the Fermi energy, states/eV/f.u.: 9.557
Calculated density, g cm⁻³: 6.5
E_form (uncorrected), eV per atom: -1.010
VASP energy, Ry/atom: -0.418

Cell: 6.894 7.516 7.574 Å, 61.30 70.33 63.05°
Space group P-1 (No. 2)
Symmetry-distinct sites (fractional):
K  0.000  0.000  0.000 (multiplicity 1)
Pa  0.006  0.667  0.672 (multiplicity 2)
Pd  0.487  0.718  0.364 (multiplicity 2)
Se  0.244  0.925  0.591 (multiplicity 2)
Se  0.248  0.535  0.351 (multiplicity 2)
Se  0.256  0.295  0.964 (multiplicity 2)

## Mn2GaPb2 (PBE-GGA)

Data for a geometry-optimized Mn2GaPb2 structure.

## Properties
Volume, A^3/atom: 21.07
DOS at the Fermi energy, states/eV/f.u.: 4.995
Calculated density, g cm⁻³: 9.4
DFT formation energy, meV per atom: 518
Energy relative to the lowest polymorph listed for this composition, meV/atom: 45
VASP energy, Ry/atom: -0.385

Cell: 3.256 3.256 19.875 Å, 90.00 90.00 90.00°
Space group I4/mmm (No. 139)
Symmetry-distinct sites (fractional):
Mn  0.000  0.500  0.250 (multiplicity 4)
Ga  0.000  0.000  0.000 (multiplicity 2)
Pb  0.000  0.000  0.371 (multiplicity 4)